[1]
Density functional theory data (PBE) for crystalline KCuBiTe3 at its relaxed geometry.

Unit cell a=4.3708 b=10.2077 c=10.1889 alpha=110.51 beta=90.00 gamma=90.00
Fractional positions:
Te 0.7500 0.1944 0.5126
Te 0.2500 0.8056 0.4874
Te 0.7500 0.8970 0.1604
Te 0.2500 0.5382 0.8261
Te 0.2500 0.1030 0.8396
Te 0.7500 0.4618 0.1739
Bi 0.2500 0.6731 0.1469
Bi 0.7500 0.3269 0.8531
K 0.2500 0.2019 0.2239
K 0.7500 0.7981 0.7761
Cu 0.7500 0.9236 0.4284
Cu 0.2500 0.0764 0.5716

Results
Formation energy from raw total energies   -0.38 eV/atom
Calculated density   5.417 g/cm³


[2]
Density functional theory data (PBE) for crystalline IrOs2W at its relaxed geometry.

Unit cell a=9.1687 b=9.1687 c=9.1687 alpha=17.28 beta=17.28 gamma=17.28
Fractional positions:
W 0.2500 0.2500 0.2500
Os 0.4991 0.4991 0.4991
Os 0.0009 0.0009 0.0009
Ir 0.7500 0.7500 0.7500

Results
DFT formation energy   106 meV per atom
Calculated density   21.161 g/cm³


Number 2 is which compound? IrOs2W


Copy entry 1 word for word.
Density functional theory data (PBE) for crystalline KCuBiTe3 at its relaxed geometry.

Unit cell a=4.3708 b=10.2077 c=10.1889 alpha=110.51 beta=90.00 gamma=90.00
Fractional positions:
Te 0.7500 0.1944 0.5126
Te 0.2500 0.8056 0.4874
Te 0.7500 0.8970 0.1604
Te 0.2500 0.5382 0.8261
Te 0.2500 0.1030 0.8396
Te 0.7500 0.4618 0.1739
Bi 0.2500 0.6731 0.1469
Bi 0.7500 0.3269 0.8531
K 0.2500 0.2019 0.2239
K 0.7500 0.7981 0.7761
Cu 0.7500 0.9236 0.4284
Cu 0.2500 0.0764 0.5716

Results
Formation energy from raw total energies   -0.38 eV/atom
Calculated density   5.417 g/cm³